# 1
KSb2Mo: optimized geometry, GGA-PBE.

The value obtained for the volume is 112.4 Å³/f.u. The energy above the most stable polymorph in this dataset comes out at 126 meV per atom.

Lattice parameters (Å, degrees): 3.416 3.774 17.430 90.00 90.00 90.00
Space group Imm2 (No. 44)
Inequivalent atoms, fractional coordinates:
K: 0.000 0.000 0.000 (multiplicity 2)
Sb: 0.000 0.000 0.357 (multiplicity 2)
Sb: 0.000 0.500 0.170 (multiplicity 2)
Mo: 0.000 0.500 0.738 (multiplicity 2)

---

# 2
GaBiAs2Br: optimized geometry, GGA-PBE.

The value obtained for the volume is 128.0 Å³/f.u. The energy above the most stable polymorph in this dataset comes out at 0 meV per atom.

Lattice parameters (Å, degrees): 5.057 5.057 5.006 90.00 90.00 90.00
Space group P4/mmm (No. 123)
Inequivalent atoms, fractional coordinates:
Ga: 0.000 0.000 0.000 (multiplicity 1)
Bi: 0.500 0.500 0.500 (multiplicity 1)
As: 0.000 0.500 0.000 (multiplicity 2)
Br: 0.000 0.000 0.500 (multiplicity 1)

---

# 3
Fe5Sb: optimized geometry, GGA-PBE.

The value obtained for the volume is 78.3 Å³/f.u. The energy comes out at -45.51 eV for the cell shown.

Lattice parameters (Å, degrees): 4.5482 4.5482 4.3698 90.00 90.00 120.00
Space group P-62m (No. 189)
Inequivalent atoms, fractional coordinates:
Fe: 0.0000 0.6486 0.0000 (multiplicity 3)
Fe: 0.3333 0.6667 0.5000 (multiplicity 2)
Sb: 0.0000 0.0000 0.5000 (multiplicity 1)

---

# 4
Ac4PtPb2N2: optimized geometry, GGA-PBE.

The value obtained for the volume is 294.1 Å³/f.u. The energy comes out at -108.41 eV for the cell shown.

Lattice parameters (Å, degrees): 16.555 4.233 8.941 90.00 110.17 90.00
Space group C2/m (No. 12)
Inequivalent atoms, fractional coordinates:
Ac: 0.035 0.000 0.293 (multiplicity 4)
Ac: 0.212 0.500 0.642 (multiplicity 4)
Pt: 0.000 0.500 0.500 (multiplicity 2)
Pb: 0.107 0.500 0.025 (multiplicity 4)
N: 0.176 0.000 0.484 (multiplicity 4)

---

# 5
Sm2MnNi4Ge3: optimized geometry, GGA-PBE.

The value obtained for the volume is 164.8 Å³/f.u. The calculation puts the energy relative to the elements at -5.768 eV per formula unit.

Lattice parameters (Å, degrees): 4.109 4.109 9.760 90.00 90.00 90.00
Space group P-4m2 (No. 115)
Inequivalent atoms, fractional coordinates:
Sm: 0.000 0.500 0.248 (multiplicity 2)
Mn: 0.000 0.000 0.500 (multiplicity 1)
Ni: 0.000 0.000 0.000 (multiplicity 1)
Ni: 0.000 0.500 0.633 (multiplicity 2)
Ni: 0.500 0.500 0.000 (multiplicity 1)
Ge: 0.000 0.500 0.874 (multiplicity 2)
Ge: 0.500 0.500 0.500 (multiplicity 1)

---

# 6
MnCrOs2: optimized geometry, GGA-PBE.

The value obtained for the volume is 52.4 Å³/f.u. The calculation puts the energy relative to the elements at 0.336 eV per formula unit.

Lattice parameters (Å, degrees): 5.336 7.335 2.675 90.00 90.00 90.00
Space group Cmmm (No. 65)
Inequivalent atoms, fractional coordinates:
Mn: 0.000 0.000 0.000 (multiplicity 2)
Cr: 0.000 0.500 0.000 (multiplicity 2)
Os: 0.250 0.250 0.500 (multiplicity 4)

---

# 7
TiP: optimized geometry, GGA-PBE.

The value obtained for the volume is 53.1 Å³/f.u. The calculation puts the energy relative to the elements at -0.772 eV per formula unit.

Lattice parameters (Å, degrees): 6.829 6.829 6.829 90.00 90.00 90.00
Space group Pm-3n (No. 223)
Inequivalent atoms, fractional coordinates:
Ti: 0.000 0.250 0.500 (multiplicity 6)
P: 0.000 0.500 0.250 (multiplicity 6)

---

# 8
CeIn8Pt6: optimized geometry, GGA-PBE.

The value obtained for the volume is 324.5 Å³/f.u. The calculation puts the energy relative to the elements at -7.960 eV per formula unit.

Lattice parameters (Å, degrees): 8.1600 8.1600 16.8798 90.00 90.00 120.00
Space group R-3 (No. 148, hexagonal axes)
Inequivalent atoms, fractional coordinates:
Ce: 0.0000 0.0000 0.0000 (multiplicity 3)
In: 0.0000 0.0000 0.3326 (multiplicity 6)
In: 0.0008 0.3308 0.1166 (multiplicity 18)
Pt: 0.0006 0.3419 0.9452 (multiplicity 18)

---

# 9
BiPt2Pb: optimized geometry, GGA-PBE.

The value obtained for the volume is 93.5 Å³/f.u. The calculation puts the energy relative to the elements at -1.105 eV per formula unit.

Lattice parameters (Å, degrees): 7.640 5.566 8.799 90.00 90.00 90.00
Space group Pnma (No. 62)
Inequivalent atoms, fractional coordinates:
Bi: 0.084 0.250 0.126 (multiplicity 4)
Pt: 0.248 0.001 0.875 (multiplicity 8)
Pb: 0.083 0.250 0.624 (multiplicity 4)

---

# 10
NaLi4Tl2: optimized geometry, GGA-PBE.

The value obtained for the volume is 146.5 Å³/f.u. The calculation puts the energy relative to the elements at -0.905 eV per formula unit. The energy above the most stable polymorph in this dataset comes out at 0 meV per atom.

Lattice parameters (Å, degrees): 5.616 5.580 9.644 90.00 104.21 90.00
Space group P2_1/m (No. 11)
Inequivalent atoms, fractional coordinates:
Na: 0.002 0.250 0.307 (multiplicity 2)
Li: 0.172 0.250 0.627 (multiplicity 2)
Li: 0.358 0.750 0.966 (multiplicity 2)
Li: 0.386 0.507 0.222 (multiplicity 4)
Tl: 0.112 0.250 0.935 (multiplicity 2)
Tl: 0.356 0.750 0.496 (multiplicity 2)

---

# 11
Li2PrMg10: optimized geometry, GGA-PBE.

The value obtained for the volume is 302.7 Å³/f.u. The calculation puts the energy relative to the elements at -0.746 eV per formula unit.

Lattice parameters (Å, degrees): 5.639 14.622 7.847 90.00 110.67 90.00
Space group C2/m (No. 12)
Inequivalent atoms, fractional coordinates:
Li: 0.000 0.000 0.000 (multiplicity 2)
Li: 0.000 0.500 0.000 (multiplicity 2)
Pr: 0.000 0.000 0.500 (multiplicity 2)
Mg: 0.109 0.396 0.720 (multiplicity 8)
Mg: 0.178 0.173 0.859 (multiplicity 8)
Mg: 0.250 0.250 0.500 (multiplicity 4)

---

# 12
KCr2Cu: optimized geometry, GGA-PBE.

The value obtained for the volume is 90.4 Å³/f.u. The calculation puts the energy relative to the elements at 4.340 eV per formula unit. The energy above the most stable polymorph in this dataset comes out at 443 meV per atom.

Lattice parameters (Å, degrees): 12.089 3.049 5.488 90.00 116.71 90.00
Space group C2/m (No. 12)
Inequivalent atoms, fractional coordinates:
K: 0.000 0.000 0.000 (multiplicity 2)
Cr: 0.201 0.000 0.701 (multiplicity 4)
Cu: 0.000 0.500 0.500 (multiplicity 2)